1.
# CsRbS2N, PBEsol geometry, DFT SCAN
data_CsRbS2N
_space_group_name_H-M_alt 'P 4/m m m'
_space_group_IT_number 123
_space_group_name_Hall '-P 4 2'
_cell_length_a 5.9752
_cell_length_b 5.9752
_cell_length_c 5.4687
_cell_angle_alpha 90.00
_cell_angle_beta 90.00
_cell_angle_gamma 90.00
loop_
_atom_site_label
_atom_site_fract_x
_atom_site_fract_y
_atom_site_fract_z
Cs1 0.0000 0.0000 0.0000
Rb1 0.5000 0.5000 0.5000
S1 0.0000 0.5000 0.5000
N1 0.5000 0.5000 0.0000
# Energy relative to the elements, uncorrected (eV/atom): 0.638

=====

2.
# LiAl2W, PBEsol geometry, DFT SCAN
data_LiAl2W
_space_group_name_H-M_alt 'C m m m'
_space_group_IT_number 65
_space_group_name_Hall '-C 2 2'
_cell_length_a 5.9784
_cell_length_b 7.0360
_cell_length_c 2.8082
_cell_angle_alpha 90.00
_cell_angle_beta 90.00
_cell_angle_gamma 90.00
loop_
_atom_site_label
_atom_site_fract_x
_atom_site_fract_y
_atom_site_fract_z
Li1 0.0000 0.0000 0.0000
Al1 0.2500 0.2500 0.5000
W1 0.0000 0.5000 0.0000
# Calculated total energy (eV/atom): -21.97

=====

3.
# CuRhBr, PBEsol geometry, DFT SCAN
data_CuRhBr
_space_group_name_H-M_alt 'I 4 m m'
_space_group_IT_number 107
_space_group_name_Hall 'I 4 -2'
_cell_length_a 3.3116
_cell_length_b 3.3116
_cell_length_c 8.2035
_cell_angle_alpha 90.00
_cell_angle_beta 90.00
_cell_angle_gamma 90.00
loop_
_atom_site_label
_atom_site_fract_x
_atom_site_fract_y
_atom_site_fract_z
Cu1 0.0000 0.0000 0.0000
Rh1 0.0000 0.0000 0.3605
Br1 0.0000 0.0000 0.6694
# Energy relative to the elements, uncorrected (eV/atom): 0.565

=====

4.
# FeRu2Cl, PBEsol geometry, DFT SCAN
data_FeRu2Cl
_space_group_name_H-M_alt 'R 3 m'
_space_group_IT_number 160
_space_group_name_Hall 'R 3 -2"'
_cell_length_a 2.7694
_cell_length_b 2.7694
_cell_length_c 24.1386
_cell_angle_alpha 90.00
_cell_angle_beta 90.00
_cell_angle_gamma 120.00
loop_
_atom_site_label
_atom_site_fract_x
_atom_site_fract_y
_atom_site_fract_z
Fe1 0.0000 0.0000 0.0000
Ru1 0.0000 0.0000 0.5033
Ru2 0.0000 0.0000 0.7540
Cl1 0.0000 0.0000 0.2605
# Energy relative to the elements, uncorrected (eV/atom): 0.297

=====

5.
# Mn2CoMo, PBEsol geometry, DFT SCAN
data_Mn2CoMo
_space_group_name_H-M_alt 'I 4/m m m'
_space_group_IT_number 139
_space_group_name_Hall '-I 4 2'
_cell_length_a 3.5659
_cell_length_b 3.5659
_cell_length_c 7.2415
_cell_angle_alpha 90.00
_cell_angle_beta 90.00
_cell_angle_gamma 90.00
loop_
_atom_site_label
_atom_site_fract_x
_atom_site_fract_y
_atom_site_fract_z
Mn1 0.0000 0.5000 0.2500
Co1 0.0000 0.0000 0.0000
Mo1 0.0000 0.0000 0.5000
# Calculated total energy (eV/atom): -22.03

=====

6.
# K2ZrCl, PBEsol geometry, DFT SCAN
data_K2ZrCl
_space_group_name_H-M_alt 'F -4 3 m'
_space_group_IT_number 216
_space_group_name_Hall 'F -4 2 3'
_cell_length_a 8.1832
_cell_length_b 8.1832
_cell_length_c 8.1832
_cell_angle_alpha 90.00
_cell_angle_beta 90.00
_cell_angle_gamma 90.00
loop_
_atom_site_label
_atom_site_fract_x
_atom_site_fract_y
_atom_site_fract_z
K1 0.0000 0.0000 0.0000
K2 0.2500 0.2500 0.2500
Zr1 0.0000 0.0000 0.5000
Cl1 0.2500 0.2500 0.7500
# Energy relative to the elements, uncorrected (eV/atom): 0.389

=====

7.
# ZrPSeO2, PBEsol geometry, DFT SCAN
data_ZrPSeO2
_space_group_name_H-M_alt 'P 4/m m m'
_space_group_IT_number 123
_space_group_name_Hall '-P 4 2'
_cell_length_a 3.9245
_cell_length_b 3.9245
_cell_length_c 5.8953
_cell_angle_alpha 90.00
_cell_angle_beta 90.00
_cell_angle_gamma 90.00
loop_
_atom_site_label
_atom_site_fract_x
_atom_site_fract_y
_atom_site_fract_z
Zr1 0.0000 0.0000 0.0000
P1 0.0000 0.0000 0.5000
Se1 0.5000 0.5000 0.5000
O1 0.0000 0.5000 0.0000
# Energy relative to the elements, uncorrected (eV/atom): -1.320

=====

8.
# TcHg2Os, PBEsol geometry, DFT SCAN
data_TcHg2Os
_space_group_name_H-M_alt 'F m -3 m'
_space_group_IT_number 225
_space_group_name_Hall '-F 4 2 3'
_cell_length_a 6.4199
_cell_length_b 6.4199
_cell_length_c 6.4199
_cell_angle_alpha 90.00
_cell_angle_beta 90.00
_cell_angle_gamma 90.00
loop_
_atom_site_label
_atom_site_fract_x
_atom_site_fract_y
_atom_site_fract_z
Tc1 0.0000 0.0000 0.0000
Hg1 0.2500 0.2500 0.2500
Os1 0.0000 0.0000 0.5000
# Calculated total energy (eV/atom): -59.73

=====

9.
# CaAgIr, PBEsol geometry, DFT SCAN
data_CaAgIr
_space_group_name_H-M_alt 'F -4 3 m'
_space_group_IT_number 216
_space_group_name_Hall 'F -4 2 3'
_cell_length_a 6.4018
_cell_length_b 6.4018
_cell_length_c 6.4018
_cell_angle_alpha 90.00
_cell_angle_beta 90.00
_cell_angle_gamma 90.00
loop_
_atom_site_label
_atom_site_fract_x
_atom_site_fract_y
_atom_site_fract_z
Ca1 0.0000 0.0000 0.0000
Ag1 0.0000 0.0000 0.5000
Ir1 0.2500 0.2500 0.7500
# Calculated total energy (eV/atom): -37.07

=====

10.
# LaZrCl, PBEsol geometry, DFT SCAN
data_LaZrCl
_space_group_name_H-M_alt 'P -6 m 2'
_space_group_IT_number 187
_space_group_name_Hall 'P -6 2'
_cell_length_a 4.8166
_cell_length_b 4.8166
_cell_length_c 3.4156
_cell_angle_alpha 90.00
_cell_angle_beta 90.00
_cell_angle_gamma 120.00
loop_
_atom_site_label
_atom_site_fract_x
_atom_site_fract_y
_atom_site_fract_z
La1 0.0000 0.0000 0.0000
Zr1 0.6667 0.3333 0.5000
Cl1 0.3333 0.6667 0.5000
# Energy relative to the elements, uncorrected (eV/atom): -0.233

=====

11.
# AlCdCo, PBEsol geometry, DFT SCAN
data_AlCdCo
_space_group_name_H-M_alt 'I 4 m m'
_space_group_IT_number 107
_space_group_name_Hall 'I 4 -2'
_cell_length_a 2.9837
_cell_length_b 2.9837
_cell_length_c 9.7950
_cell_angle_alpha 90.00
_cell_angle_beta 90.00
_cell_angle_gamma 90.00
loop_
_atom_site_label
_atom_site_fract_x
_atom_site_fract_y
_atom_site_fract_z
Al1 0.0000 0.0000 0.0000
Cd1 0.0000 0.0000 0.7081
Co1 0.0000 0.0000 0.3877
# Calculated total energy (eV/atom): -18.55

=====

12.
# CeAu3, PBEsol geometry, DFT SCAN
data_CeAu3
_space_group_name_H-M_alt 'P 63/m m c'
_space_group_IT_number 194
_space_group_name_Hall '-P 6c 2c'
_cell_length_a 6.3238
_cell_length_b 6.3238
_cell_length_c 4.7112
_cell_angle_alpha 90.00
_cell_angle_beta 90.00
_cell_angle_gamma 120.00
loop_
_atom_site_label
_atom_site_fract_x
_atom_site_fract_y
_atom_site_fract_z
Ce1 0.3333 0.6667 0.2500
Au1 0.1554 0.3108 0.7500
# Calculated total energy (eV/atom): -63.74

=====

> Number 3 is which compound?

CuRhBr